(1)
A plane-wave DFT calculation with PBE was carried out for an optimized crystal structure of AlInPd2.

**Space group**: P2_1
**Electronic total energy**: -19.48 eV/f.u.

Structure (CIF):
```
data_AlInPd2
_chemical_formula_sum 'Al2 In2 Pd4'
_space_group_name_H-M_alt 'P 1'
_space_group_IT_number 1
_cell_length_a 5.084
_cell_length_b 5.095
_cell_length_c 5.118
_cell_angle_alpha 90.00
_cell_angle_beta 91.82
_cell_angle_gamma 90.00
loop_
_space_group_symop_operation_xyz
'x,y,z'
loop_
_atom_site_label
_atom_site_type_symbol
_atom_site_fract_x
_atom_site_fract_y
_atom_site_fract_z
Al1 Al 0.157 0.000 0.412
Al2 Al 0.843 0.500 0.588
In1 In 0.344 0.310 0.908
In2 In 0.656 0.810 0.092
Pd1 Pd 0.133 0.803 0.875
Pd2 Pd 0.344 0.520 0.408
Pd3 Pd 0.656 0.020 0.592
Pd4 Pd 0.867 0.303 0.125
```

(2)
A plane-wave DFT calculation with PBE was carried out for an optimized crystal structure of LaPr2Ge4Ir2Pd2.

**Space group**: Immm
**Magnetic moment**: 0.001 μB/atom
**Energy above the most stable polymorph in this dataset**: 0.0000 eV per atom

Structure (CIF):
```
data_LaPr2Ge4Ir2Pd2
_chemical_formula_sum 'La1 Pr2 Ge4 Ir2 Pd2'
_space_group_name_H-M_alt 'P 1'
_space_group_IT_number 1
_cell_length_a 13.050
_cell_length_b 13.050
_cell_length_c 13.050
_cell_angle_alpha 161.71
_cell_angle_beta 160.83
_cell_angle_gamma 26.62
loop_
_space_group_symop_operation_xyz
'x,y,z'
loop_
_atom_site_label
_atom_site_type_symbol
_atom_site_fract_x
_atom_site_fract_y
_atom_site_fract_z
La1 La 0.000 0.000 0.000
Pr1 Pr 0.352 0.852 0.500
Pr2 Pr 0.648 0.148 0.500
Ge1 Ge 0.197 0.697 0.500
Ge2 Ge 0.450 0.450 0.000
Ge3 Ge 0.550 0.550 0.000
Ge4 Ge 0.803 0.303 0.500
Ir1 Ir 0.250 0.250 0.000
Ir2 Ir 0.750 0.750 0.000
Pd1 Pd 0.098 0.598 0.500
Pd2 Pd 0.902 0.402 0.500
```

(3)
A plane-wave DFT calculation with PBE was carried out for an optimized crystal structure of Lu4SiAuC2.

**Space group**: P-6m2
**Magnetic moment**: 0.001 μB/atom
**Electronic total energy**: -49.43 eV/f.u.

Structure (CIF):
```
data_Lu4SiAuC2
_chemical_formula_sum 'Lu4 Si1 Au1 C2'
_space_group_name_H-M_alt 'P 1'
_space_group_IT_number 1
_cell_length_a 3.544
_cell_length_b 3.544
_cell_length_c 13.949
_cell_angle_alpha 90.00
_cell_angle_beta 90.00
_cell_angle_gamma 120.00
loop_
_space_group_symop_operation_xyz
'x,y,z'
loop_
_atom_site_label
_atom_site_type_symbol
_atom_site_fract_x
_atom_site_fract_y
_atom_site_fract_z
Lu1 Lu 0.000 0.000 0.154
Lu2 Lu 0.000 0.000 0.846
Lu3 Lu 0.667 0.333 0.341
Lu4 Lu 0.667 0.333 0.659
Si1 Si 0.667 0.333 0.000
Au1 Au 0.000 0.000 0.500
C1 C 0.333 0.667 0.253
C2 C 0.333 0.667 0.747
```

(4)
A plane-wave DFT calculation with PBE was carried out for an optimized crystal structure of Os2C6SO6.

**Space group**: P-1
**Magnetic moment**: 0.000 μB/atom
**Electronic total energy**: -121.11 eV/f.u.

Structure (CIF):
```
data_Os2C6SO6
_chemical_formula_sum 'Os8 C24 S4 O24'
_space_group_name_H-M_alt 'P 1'
_space_group_IT_number 1
_cell_length_a 8.228
_cell_length_b 8.964
_cell_length_c 13.961
_cell_angle_alpha 80.43
_cell_angle_beta 85.94
_cell_angle_gamma 68.40
loop_
_space_group_symop_operation_xyz
'x,y,z'
loop_
_atom_site_label
_atom_site_type_symbol
_atom_site_fract_x
_atom_site_fract_y
_atom_site_fract_z
Os1 Os 0.039 0.188 0.279
Os2 Os 0.139 0.041 0.764
Os3 Os 0.290 0.740 0.608
Os4 Os 0.297 0.690 0.826
Os5 Os 0.703 0.310 0.174
Os6 Os 0.710 0.260 0.392
Os7 Os 0.861 0.959 0.236
Os8 Os 0.961 0.812 0.721
C1 C 0.033 0.388 0.206
C2 C 0.089 0.830 0.195
C3 C 0.134 0.704 0.929
C4 C 0.170 0.651 0.534
C5 C 0.171 0.215 0.375
C6 C 0.187 0.224 0.700
C7 C 0.232 0.035 0.887
C8 C 0.244 0.070 0.214
C9 C 0.353 0.464 0.833
C10 C 0.392 0.822 0.495
C11 C 0.476 0.535 0.631
C12 C 0.490 0.657 0.903
C13 C 0.510 0.343 0.097
C14 C 0.524 0.465 0.369
C15 C 0.608 0.178 0.505
C16 C 0.647 0.536 0.167
C17 C 0.756 0.930 0.786
C18 C 0.768 0.965 0.113
C19 C 0.813 0.776 0.300
C20 C 0.829 0.785 0.625
C21 C 0.830 0.349 0.466
C22 C 0.866 0.296 0.071
C23 C 0.911 0.170 0.805
C24 C 0.967 0.612 0.794
S1 S 0.049 0.001 0.610
S2 S 0.420 0.853 0.714
S3 S 0.580 0.147 0.286
S4 S 0.951 0.999 0.390
O1 O 0.036 0.513 0.168
O2 O 0.037 0.718 0.995
O3 O 0.107 0.596 0.485
O4 O 0.217 0.333 0.657
O5 O 0.224 0.745 0.170
O6 O 0.248 0.235 0.435
O7 O 0.293 0.030 0.960
O8 O 0.369 0.001 0.172
O9 O 0.385 0.326 0.839
O10 O 0.389 0.362 0.051
O11 O 0.407 0.589 0.357
O12 O 0.450 0.876 0.426
O13 O 0.550 0.124 0.574
O14 O 0.593 0.411 0.643
O15 O 0.611 0.638 0.949
O16 O 0.615 0.674 0.161
O17 O 0.631 0.999 0.828
O18 O 0.707 0.970 0.040
O19 O 0.752 0.765 0.565
O20 O 0.776 0.255 0.830
O21 O 0.783 0.667 0.343
O22 O 0.893 0.404 0.515
O23 O 0.963 0.282 0.005
O24 O 0.964 0.487 0.832
```

(5)
A plane-wave DFT calculation with PBE was carried out for an optimized crystal structure of Li2AlZn3Pd2.

**Space group**: P-4m2
**Electronic total energy**: -25.78 eV/f.u.

Structure (CIF):
```
data_Li2AlZn3Pd2
_chemical_formula_sum 'Li2 Al1 Zn3 Pd2'
_space_group_name_H-M_alt 'P 1'
_space_group_IT_number 1
_cell_length_a 4.308
_cell_length_b 4.308
_cell_length_c 6.085
_cell_angle_alpha 90.00
_cell_angle_beta 90.00
_cell_angle_gamma 90.00
loop_
_space_group_symop_operation_xyz
'x,y,z'
loop_
_atom_site_label
_atom_site_type_symbol
_atom_site_fract_x
_atom_site_fract_y
_atom_site_fract_z
Li1 Li 0.000 0.500 0.240
Li2 Li 0.500 0.000 0.760
Al1 Al 0.000 0.000 0.500
Zn1 Zn 0.000 0.000 0.000
Zn2 Zn 0.500 0.500 0.000
Zn3 Zn 0.500 0.500 0.500
Pd1 Pd 0.000 0.500 0.741
Pd2 Pd 0.500 0.000 0.259
```

(6)
A plane-wave DFT calculation with PBE was carried out for an optimized crystal structure of LaSi2NiGe.

**Space group**: I4mm
**Magnetic moment**: 0.000 μB/atom
**Electronic total energy**: -29.20 eV/f.u.

Structure (CIF):
```
data_LaSi2NiGe
_chemical_formula_sum 'La1 Si2 Ni1 Ge1'
_space_group_name_H-M_alt 'P 1'
_space_group_IT_number 1
_cell_length_a 5.686
_cell_length_b 5.686
_cell_length_c 5.686
_cell_angle_alpha 135.66
_cell_angle_beta 135.66
_cell_angle_gamma 64.51
loop_
_space_group_symop_operation_xyz
'x,y,z'
loop_
_atom_site_label
_atom_site_type_symbol
_atom_site_fract_x
_atom_site_fract_y
_atom_site_fract_z
La1 La 0.000 0.000 0.000
Si1 Si 0.255 0.755 0.500
Si2 Si 0.755 0.255 0.500
Ni1 Ni 0.661 0.661 0.000
Ge1 Ge 0.411 0.411 0.000
```

(7)
A plane-wave DFT calculation with PBE was carried out for an optimized crystal structure of MgNiGe.

**Space group**: Pnma
**Magnetic moment**: 0.001 μB/atom
**Electronic total energy**: -12.77 eV/f.u.

Structure (CIF):
```
data_MgNiGe
_chemical_formula_sum 'Mg4 Ni4 Ge4'
_space_group_name_H-M_alt 'P 1'
_space_group_IT_number 1
_cell_length_a 6.302
_cell_length_b 3.929
_cell_length_c 7.427
_cell_angle_alpha 90.00
_cell_angle_beta 90.00
_cell_angle_gamma 90.00
loop_
_space_group_symop_operation_xyz
'x,y,z'
loop_
_atom_site_label
_atom_site_type_symbol
_atom_site_fract_x
_atom_site_fract_y
_atom_site_fract_z
Mg1 Mg 0.024 0.250 0.175
Mg2 Mg 0.476 0.750 0.675
Mg3 Mg 0.524 0.250 0.325
Mg4 Mg 0.976 0.750 0.825
Ni1 Ni 0.214 0.750 0.366
Ni2 Ni 0.286 0.250 0.866
Ni3 Ni 0.714 0.750 0.134
Ni4 Ni 0.786 0.250 0.634
Ge1 Ge 0.166 0.250 0.558
Ge2 Ge 0.334 0.750 0.058
Ge3 Ge 0.666 0.250 0.942
Ge4 Ge 0.834 0.750 0.442
```

(8)
A plane-wave DFT calculation with PBE was carried out for an optimized crystal structure of InCoHg.

**Space group**: P-62m
**Magnetic moment**: 0.260 μB/atom
**Energy above the most stable polymorph in this dataset**: 0.0442 eV per atom

Structure (CIF):
```
data_InCoHg
_chemical_formula_sum 'In3 Co3 Hg3'
_space_group_name_H-M_alt 'P 1'
_space_group_IT_number 1
_cell_length_a 7.466
_cell_length_b 7.466
_cell_length_c 3.445
_cell_angle_alpha 90.00
_cell_angle_beta 90.00
_cell_angle_gamma 120.00
loop_
_space_group_symop_operation_xyz
'x,y,z'
loop_
_atom_site_label
_atom_site_type_symbol
_atom_site_fract_x
_atom_site_fract_y
_atom_site_fract_z
In1 In 0.000 0.605 0.000
In2 In 0.395 0.395 0.000
In3 In 0.605 0.000 0.000
Co1 Co 0.000 0.000 0.000
Co2 Co 0.333 0.667 0.500
Co3 Co 0.667 0.333 0.500
Hg1 Hg 0.000 0.274 0.500
Hg2 Hg 0.274 0.000 0.500
Hg3 Hg 0.726 0.726 0.500
```

(9)
A plane-wave DFT calculation with PBE was carried out for an optimized crystal structure of Nd2Sm2CI2Br3.

**Space group**: C2/m
**Magnetic moment**: 0.025 μB/atom
**Energy above the most stable polymorph in this dataset**: 0.0091 eV per atom

Structure (CIF):
```
data_Nd2Sm2CI2Br3
_chemical_formula_sum 'Nd2 Sm2 C1 I2 Br3'
_space_group_name_H-M_alt 'P 1'
_space_group_IT_number 1
_cell_length_a 9.592
_cell_length_b 9.592
_cell_length_c 8.475
_cell_angle_alpha 101.01
_cell_angle_beta 101.01
_cell_angle_gamma 24.06
loop_
_space_group_symop_operation_xyz
'x,y,z'
loop_
_atom_site_label
_atom_site_type_symbol
_atom_site_fract_x
_atom_site_fract_y
_atom_site_fract_z
Nd1 Nd 0.003 0.003 0.296
Nd2 Nd 0.997 0.997 0.704
Sm1 Sm 0.366 0.366 0.438
Sm2 Sm 0.634 0.634 0.562
C1 C 0.500 0.500 0.500
I1 I 0.167 0.167 0.847
I2 I 0.833 0.833 0.153
Br1 Br 0.169 0.169 0.330
Br2 Br 0.500 0.500 0.000
Br3 Br 0.831 0.831 0.670
```

(10)
A plane-wave DFT calculation with PBE was carried out for an optimized crystal structure of SrBOs.

**Space group**: F-43m
**Magnetic moment**: 0.010 μB/atom
**Energy above the most stable polymorph in this dataset**: 0.4713 eV per atom

Structure (CIF):
```
data_SrBOs
_chemical_formula_sum 'Sr1 B1 Os1'
_space_group_name_H-M_alt 'P 1'
_space_group_IT_number 1
_cell_length_a 4.336
_cell_length_b 4.336
_cell_length_c 4.336
_cell_angle_alpha 60.00
_cell_angle_beta 60.00
_cell_angle_gamma 60.00
loop_
_space_group_symop_operation_xyz
'x,y,z'
loop_
_atom_site_label
_atom_site_type_symbol
_atom_site_fract_x
_atom_site_fract_y
_atom_site_fract_z
Sr1 Sr 0.000 0.000 0.000
B1 B 0.500 0.500 0.500
Os1 Os 0.750 0.750 0.750
```

(11)
A plane-wave DFT calculation with PBE was carried out for an optimized crystal structure of LiTbTeO.

**Space group**: Pmc2_1
**Magnetic moment**: 0.000 μB/atom
**Energy above the most stable polymorph in this dataset**: 0.2531 eV per atom

Structure (CIF):
```
data_LiTbTeO
_chemical_formula_sum 'Li2 Tb2 Te2 O2'
_space_group_name_H-M_alt 'P 1'
_space_group_IT_number 1
_cell_length_a 3.982
_cell_length_b 6.621
_cell_length_c 6.897
_cell_angle_alpha 90.00
_cell_angle_beta 90.00
_cell_angle_gamma 90.00
loop_
_space_group_symop_operation_xyz
'x,y,z'
loop_
_atom_site_label
_atom_site_type_symbol
_atom_site_fract_x
_atom_site_fract_y
_atom_site_fract_z
Li1 Li 0.000 0.179 0.000
Li2 Li 0.000 0.821 0.500
Tb1 Tb 0.500 0.476 0.291
Tb2 Tb 0.500 0.524 0.791
Te1 Te 0.000 0.242 0.555
Te2 Te 0.000 0.758 0.055
O1 O 0.500 0.297 0.025
O2 O 0.500 0.703 0.525
```

(12)
A plane-wave DFT calculation with PBE was carried out for an optimized crystal structure of ScCu2Ni.

**ΔE_f**: -0.22 eV per atom
**Space group**: F-43m
**Magnetic moment**: 0.000 μB/atom

Structure (CIF):
```
data_ScCu2Ni
_chemical_formula_sum 'Sc1 Cu2 Ni1'
_space_group_name_H-M_alt 'P 1'
_space_group_IT_number 1
_cell_length_a 4.267
_cell_length_b 4.267
_cell_length_c 4.267
_cell_angle_alpha 60.00
_cell_angle_beta 60.00
_cell_angle_gamma 60.00
loop_
_space_group_symop_operation_xyz
'x,y,z'
loop_
_atom_site_label
_atom_site_type_symbol
_atom_site_fract_x
_atom_site_fract_y
_atom_site_fract_z
Sc1 Sc 0.000 0.000 0.000
Cu1 Cu 0.500 0.500 0.500
Cu2 Cu 0.750 0.750 0.750
Ni1 Ni 0.250 0.250 0.250
```